(1)
Compound: SrAlIn2Pd4
Source: Alexandria
Functional: PBE-GGA
Structure: relaxed

## Properties
**Symmetry**: R-3m
**Crystal system**: trigonal
**Total moment**: 0.000 μB per cell
**Formation energy from the elements**: -5.2 eV/f.u.
**Electronic total energy**: -4.61 eV/atom

POSCAR file:
```
SrAlIn2Pd4
1.0
-2.3380 -2.8656 2.6676
-2.9486 -2.9453 -1.8507
4.8188 -8.0340 -0.5096
Pd Sr In Al
4 1 2 1
Cartesian
-2.0419 -5.2475 0.3685
1.5740 -8.5975 -0.0611
-2.5846 -8.3143 0.4959
2.1168 -5.5307 -0.1886
0.0000 0.0000 0.0000
-0.5171 -10.2297 0.2503
0.0493 -3.6153 0.0571
-0.2339 -6.9225 0.1537
```

(2)
Compound: ZrHgW
Source: Alexandria
Functional: PBE-GGA
Structure: relaxed

## Properties
**Symmetry**: Fmm2
**Crystal system**: orthorhombic
**Total moment**: 0.000 μB per cell
**Formation energy from the elements**: 0.9 eV/f.u.
**Electronic total energy**: -6.97 eV/atom

POSCAR file:
```
ZrHgW
1.0
7.4705 -0.0089 0.0073
6.7572 2.8240 -0.0068
0.7133 -0.5738 2.7742
Hg Zr W
1 1 1
Cartesian
0.7684 -0.5600 2.7628
5.1182 0.5308 1.8701
9.7676 1.6966 0.9159
```

(3)
Compound: CsNiAgCl6
Source: Alexandria
Functional: PBE-GGA
Structure: relaxed

## Properties
**Symmetry**: P312
**E_form (uncorrected)**: -0.755 eV per atom
**Crystal system**: trigonal
**Total moment**: 0.000 μB per cell
**Electronic total energy**: -3.04 eV/atom

POSCAR file:
```
CsNiAgCl6
1.0
6.6936 0.0007 0.0001
3.3474 5.7965 -0.0001
0.0003 -0.0006 7.4671
Ag Cl Ni Cs
1 6 1 1
Cartesian
6.6938 3.8644 3.7334
5.1794 2.0400 5.0522
1.5147 2.0402 2.4151
4.1696 0.2915 2.4147
2.5244 0.2912 5.0519
4.3566 3.4651 2.4149
2.3375 3.4647 5.0522
3.3469 1.9323 3.7335
6.6938 0.0002 7.4671
```

(4)
Compound: TlBrO2
Source: Alexandria
Functional: PBE-GGA
Structure: relaxed

## Properties
**Symmetry**: C2/m
**E_form (uncorrected)**: 0.004 eV per atom
**Crystal system**: monoclinic
**Total moment**: 0.000 μB per cell
**Electronic total energy**: -3.49 eV/atom

POSCAR file:
```
TlBrO2
1.0
-3.7781 -5.8665 -2.4976
1.7030 -2.6111 -2.8407
0.4245 0.6880 4.1393
Br O Tl
1 2 1
Cartesian
0.0000 0.0000 0.0000
-1.6918 -5.9608 -2.2393
0.0412 -1.8288 1.0403
-0.8253 -3.8948 -0.5995
```